4
Lattice="1.544 0.892 10.047 -1.544 0.892 10.047 0.000 -1.783 10.047" Properties=species:S:1:pos:R:3 comment="Li2HoCu | Alexandria via LeMat-Bulk | GGA-PBE | relaxed" dos_ef_per_ev_cell=2.66 formation_energy_ev_per_atom=0.29 pbc="T T T"
Li 0.000 0.000 3.063
Li 0.000 0.000 27.079
Ho 0.000 0.000 0.000
Cu 0.000 0.000 15.071